No. 1
VASP calculation (GGA-PBE) on crystalline AlAuS2 at its relaxed geometry.

Structure (POSCAR):
```
AlAuS2
1.0
3.713 0.000 0.000
0.000 3.713 0.000
0.000 0.000 5.148
Al Au S
1 1 2
Direct
0.000 0.000 0.000
0.500 0.500 0.500
0.000 0.000 0.500
0.500 0.500 0.000
```

Summary:
Space group = No. 123
Formation energy (no corrections) = -23.49 kJ per mole of atoms
N(E_F) = 1.40 states/eV/f.u.


No. 2
VASP calculation (GGA-PBE) on crystalline BaTlBr2 at its relaxed geometry.

Structure (POSCAR):
```
BaTlBr2
1.0
4.900 -2.277 0.000
4.900 2.277 0.000
-1.610 0.000 7.185
Ba Tl Br
1 1 2
Direct
0.000 0.000 0.000
0.500 0.500 0.500
0.280 0.280 0.788
0.720 0.720 0.212
```

Summary:
Space group = No. 12
Energy above the most stable polymorph in this dataset = 0.0278 eV/atom
Formation energy (no corrections) = -125.93 kJ per mole of atoms
N(E_F) = 2.08 states/eV/f.u.


No. 3
VASP calculation (GGA-PBE) on crystalline Ir2Rh at its relaxed geometry.

Structure (POSCAR):
```
Ir2Rh
1.0
-1.366 1.932 4.091
1.366 -1.932 4.091
1.366 1.932 -4.091
Ir Rh
2 1
Direct
0.169 0.169 0.000
0.831 0.831 0.000
0.500 0.500 0.000
```

Summary:
Space group = No. 71
Energy above the most stable polymorph in this dataset = 0.0000 eV/atom
Energy relative to the elements = -0.02 eV per atom
N(E_F) = 2.95 states/eV/f.u.


No. 4
VASP calculation (GGA-PBE) on crystalline CsK2AgBr4 at its relaxed geometry.

Structure (POSCAR):
```
CsK2AgBr4
1.0
2.350 -8.037 0.000
2.350 8.037 0.000
0.000 0.000 16.367
Cs K Ag Br
2 4 2 8
Direct
0.113 0.887 0.750
0.887 0.113 0.250
0.371 0.629 0.552
0.371 0.629 0.948
0.629 0.371 0.052
0.629 0.371 0.448
0.158 0.842 0.250
0.842 0.158 0.750
0.000 0.000 0.000
0.000 0.000 0.500
0.264 0.736 0.121
0.264 0.736 0.379
0.432 0.568 0.750
0.568 0.432 0.250
0.736 0.264 0.621
0.736 0.264 0.879
```

Summary:
Space group = No. 63
Formation energy (no corrections) = -136.21 kJ per mole of atoms
N(E_F) = 0.00 states/eV/f.u.


No. 5
VASP calculation (GGA-PBE) on crystalline KMnAs2Br at its relaxed geometry.

Structure (POSCAR):
```
KMnAs2Br
1.0
5.677 0.000 0.000
0.000 5.677 0.000
0.000 0.000 5.674
K Mn As Br
1 1 2 1
Direct
0.000 0.000 0.000
0.500 0.500 0.500
0.000 0.500 0.000
0.500 0.000 0.000
0.000 0.000 0.500
```

Summary:
Space group = No. 123
Energy above the most stable polymorph in this dataset = 1.5931 eV/atom
Formation energy (no corrections) = 123.06 kJ per mole of atoms
N(E_F) = 5.07 states/eV/f.u.


No. 6
VASP calculation (GGA-PBE) on crystalline BeTlRh2 at its relaxed geometry.

Structure (POSCAR):
```
BeTlRh2
1.0
-2.129 2.129 7.953
2.129 -2.129 7.953
2.129 2.129 -7.953
Be Tl Rh
2 2 4
Direct
0.000 0.000 0.000
0.750 0.250 0.500
0.250 0.750 0.500
0.500 0.500 0.000
0.030 0.625 0.905
0.375 0.280 0.405
0.720 0.125 0.095
0.875 0.970 0.595
```

Summary:
Space group = No. 122
Energy above the most stable polymorph in this dataset = 0.5235 eV/atom
Energy relative to the elements = 0.39 eV per atom
N(E_F) = 4.25 states/eV/f.u.


No. 7
VASP calculation (GGA-PBE) on crystalline TlHI2 at its relaxed geometry.

Structure (POSCAR):
```
TlHI2
1.0
-3.722 3.722 4.604
3.722 -3.722 4.604
3.722 3.722 -4.604
Tl H I
2 2 4
Direct
0.000 0.000 0.000
0.750 0.250 0.500
0.250 0.750 0.500
0.500 0.500 0.000
0.242 0.625 0.117
0.375 0.492 0.617
0.508 0.125 0.883
0.875 0.758 0.383
```

Summary:
Space group = No. 122
Energy above the most stable polymorph in this dataset = 0.3415 eV/atom
N(E_F) = 0.00 states/eV/f.u.


No. 8
VASP calculation (GGA-PBE) on crystalline Sm3SbS3 at its relaxed geometry.

Structure (POSCAR):
```
Sm3SbS3
1.0
4.035 2.330 7.341
-4.035 2.330 7.341
0.000 -4.659 7.341
Sm Sb S
6 2 6
Direct
0.024 0.419 0.782
0.218 0.976 0.581
0.419 0.782 0.024
0.581 0.218 0.976
0.782 0.024 0.419
0.976 0.581 0.218
0.166 0.166 0.166
0.834 0.834 0.834
0.111 0.674 0.370
0.326 0.630 0.889
0.370 0.111 0.674
0.630 0.889 0.326
0.674 0.370 0.111
0.889 0.326 0.630
```

Summary:
Space group = No. 148
Formation energy (no corrections) = -164.14 kJ per mole of atoms